Entry 1:
# AcDy2Y8 (PBE-GGA, optimized geometry)
data_AcDy2Y8
_chemical_formula_sum 'Ac1 Dy2 Y8'
_cell_length_a 5.3806
_cell_length_b 10.3841
_cell_length_c 8.5540
_cell_angle_alpha 103.33
_cell_angle_beta 93.51
_cell_angle_gamma 55.38
_space_group_name_H-M_alt 'P 1'
_space_group_IT_number 1
_space_group_name_Hall 'P 1'
loop_
_atom_site_label
_atom_site_type_symbol
_atom_site_fract_x
_atom_site_fract_y
_atom_site_fract_z
Dy1 Dy 0.5478 0.6849 0.3153
Dy2 Dy 0.4522 0.3151 0.6847
Y1 Y 0.2583 0.0150 0.6415
Y2 Y 0.9142 0.3586 0.9850
Y3 Y 0.7417 0.9850 0.3585
Y4 Y 0.6515 0.6007 0.7291
Y5 Y 0.3485 0.3993 0.2709
Y6 Y 0.0858 0.6414 0.0150
Y7 Y 0.9814 0.2705 0.3994
Y8 Y 0.0186 0.7295 0.6006
Ac1 Ac 0.0000 0.0000 0.0000
# Space-group type = C2/m
# N(E_F) = 1.7539 states/eV per atom
# ΔH_f (0 K) = 16.6 kJ/mol of atoms
# Crystal system = monoclinic

Entry 2:
# Ac8Dy4Y (PBE-GGA, optimized geometry)
data_Ac8Dy4Y
_chemical_formula_sum 'Ac8 Dy4 Y1'
_cell_length_a 11.7631
_cell_length_b 11.7631
_cell_length_c 8.3148
_cell_angle_alpha 90.00
_cell_angle_beta 135.02
_cell_angle_gamma 120.00
_space_group_name_H-M_alt 'P 1'
_space_group_IT_number 1
_space_group_name_Hall 'P 1'
loop_
_atom_site_label
_atom_site_type_symbol
_atom_site_fract_x
_atom_site_fract_y
_atom_site_fract_z
Ac1 Ac 0.0003 0.2424 0.7583
Ac2 Ac 0.9997 0.7576 0.2417
Ac3 Ac 0.5156 0.7578 0.2735
Ac4 Ac 0.0003 0.7580 0.7583
Ac5 Ac 0.4840 0.2420 0.2417
Ac6 Ac 0.9997 0.2420 0.2417
Ac7 Ac 0.4844 0.2422 0.7265
Ac8 Ac 0.5160 0.7580 0.7583
Dy1 Dy 0.5000 0.5000 0.0000
Dy2 Dy 0.0000 0.0000 0.0000
Dy3 Dy 0.0000 0.5000 0.0000
Dy4 Dy 0.5000 0.0000 0.0000
Y1 Y 0.0000 0.5000 0.5000
# Space-group type = R-3m
# N(E_F) = 1.5233 states/eV per atom
# ΔH_f (0 K) = 37.6 kJ/mol of atoms
# Crystal system = trigonal